First-principles (PBE) data for crystalline KCrPbCl6 at its relaxed geometry, as listed in Alexandria.

Properties
- crystal system = trigonal
- formation energy (no corrections) (eV/atom) = -1.32

Cell: 6.999 6.999 6.641 Å, 90.00 90.00 60.00°
Last column: magnetic moment on the atom in μB.
Positions (direct):
Cl (0.056, 0.605, 0.711)  -0.01
Cl (0.338, 0.056, 0.711)  -0.01
Cl (0.338, 0.605, 0.289)  -0.01
K (0.000, 0.000, 0.000)  0.00
Cl (0.605, 0.338, 0.711)  -0.01
Cr (0.333, 0.333, 0.500)  2.85
Cl (0.056, 0.338, 0.289)  -0.01
Cl (0.605, 0.057, 0.289)  -0.01
Pb (0.667, 0.667, 0.500)  0.01

First-principles (PBE) data for crystalline KCrPd2Cl at its relaxed geometry, as listed in Alexandria.

Properties
- crystal system = tetragonal
- formation energy (no corrections) (eV/atom) = 0.37

Cell: 4.949 4.573 4.949 Å, 90.00 90.00 90.00°
Last column: magnetic moment on the atom in μB.
Positions (direct):
Pd (0.000, 0.000, 0.500)  0.01
Cr (0.000, 0.500, 0.000)  3.75
Pd (0.500, 0.000, 0.000)  0.03
K (0.500, 0.500, 0.500)  0.00
Cl (0.000, 0.000, 0.000)  -0.03

First-principles (PBE) data for crystalline KPmCrCl6 at its relaxed geometry, as listed in Alexandria.

Properties
- crystal system = orthorhombic
- formation energy (no corrections) (eV/atom) = -1.69

Cell: 8.729 9.190 8.944 Å, 120.91 119.21 90.00°
Last column: magnetic moment on the atom in μB.
Positions (direct):
Cr (0.500, 0.000, 0.000)  3.59
Pm (0.500, 0.000, 0.500)  0.04
Cl (0.432, 0.596, 0.261)  -0.02
Cr (0.500, 0.500, 0.000)  3.59
Cl (0.883, 0.133, 0.767)  0.00
Cl (0.392, 0.142, 0.783)  0.03
K (0.807, 0.557, 0.613)  0.00
Cl (0.117, 0.867, 0.233)  0.00
Pm (0.000, 0.000, 0.500)  0.04
Cl (0.829, 0.596, 0.261)  -0.02
K (0.193, 0.443, 0.387)  0.00
Cl (0.568, 0.404, 0.739)  -0.02
Cl (0.608, 0.858, 0.217)  0.03
Cl (0.432, 0.166, 0.261)  -0.02
Cl (0.171, 0.834, 0.739)  -0.02
Cl (0.171, 0.404, 0.739)  -0.02
Cl (0.829, 0.166, 0.261)  -0.02
Cl (0.568, 0.834, 0.739)  -0.02

Which formula does entry 2 have? KCrPd2Cl